(a)
BMoNF2: optimized geometry, PBE with a Hubbard U.

Summary:
As for the space group: P4/mmm. As for the density of states at the Fermi level: 1.2 states/eV/f.u.

Unit cell a=4.208 b=4.208 c=3.982 alpha=90.00 beta=90.00 gamma=90.00
Atoms (fractional coordinates):
B: 0.000 0.000 0.000
Mo: 0.500 0.500 0.500
N: 0.500 0.500 0.000
F: 0.000 0.500 0.500
F: 0.500 0.000 0.500

---

(b)
BMoNF2: optimized geometry, PBE with a Hubbard U.

Summary:
As for the space group: P4/mmm. As for the density of states at the Fermi level: 1.2 states/eV/f.u.

Unit cell a=3.117 b=3.117 c=6.383 alpha=90.00 beta=90.00 gamma=90.00
Atoms (fractional coordinates):
B: 0.000 0.000 0.000
Mo: 0.500 0.500 0.500
N: 0.000 0.000 0.500
F: 0.000 0.500 0.000
F: 0.500 0.000 0.000

---

Which structure is most stable? (b), by 12.4 kJ/mol of atoms over the runner-up.

---

(a)
BMoN2F: optimized geometry, PBE with a Hubbard U.

Summary:
As for the space group: P4/mmm. As for the density of states at the Fermi level: 1.7 states/eV/f.u.

Unit cell a=3.968 b=3.968 c=4.153 alpha=90.00 beta=90.00 gamma=90.00
Atoms (fractional coordinates):
B: 0.000 0.000 0.000
Mo: 0.500 0.500 0.500
N: 0.000 0.500 0.500
N: 0.500 0.000 0.500
F: 0.500 0.500 0.000

---

(b)
BMoN2F: optimized geometry, PBE with a Hubbard U.

Summary:
As for the space group: P4/mmm. As for the density of states at the Fermi level: 0.2 states/eV/f.u.

Unit cell a=3.606 b=3.606 c=3.191 alpha=90.00 beta=90.00 gamma=90.00
Atoms (fractional coordinates):
B: 0.000 0.000 0.000
Mo: 0.500 0.500 0.500
N: 0.000 0.500 0.000
N: 0.500 0.000 0.000
F: 0.000 0.000 0.500

---

Which structure is most stable? (b), by 57.3 kJ/mol of atoms over the runner-up.

---

(a)
BMoOF2: optimized geometry, PBE with a Hubbard U.

Summary:
As for the space group: P4/mmm. As for the density of states at the Fermi level: 1.3 states/eV/f.u.

Unit cell a=4.208 b=4.208 c=4.083 alpha=90.00 beta=90.00 gamma=90.00
Atoms (fractional coordinates):
B: 0.000 0.000 0.000
Mo: 0.500 0.500 0.500
O: 0.500 0.500 0.000
F: 0.000 0.500 0.500
F: 0.500 0.000 0.500

---

(b)
BMoOF2: optimized geometry, PBE with a Hubbard U.

Summary:
As for the space group: P4/mmm. As for the density of states at the Fermi level: 1.0 states/eV/f.u.

Unit cell a=4.531 b=4.531 c=2.731 alpha=90.00 beta=90.00 gamma=90.00
Atoms (fractional coordinates):
B: 0.000 0.000 0.000
Mo: 0.500 0.500 0.500
O: 0.000 0.000 0.500
F: 0.000 0.500 0.000
F: 0.500 0.000 0.000

---

Which structure is most stable? (b), by 29.6 kJ/mol of atoms over the runner-up.